1.
# KLiAs

Crystalline KLiAs at its relaxed geometry (PBE, the Alexandria database).

Summary:
The spin magnetization comes out at 0.00 μB/cell. The formation energy comes out at -0.3936 eV per atom. The calculation puts the polymorph energy (0 for the lowest one) at 92.3 meV per atom.

CIF file:
```
data_KLiAs
_symmetry_space_group_name_H-M 'P 4/n m m'
_symmetry_Int_Tables_number 129
_cell_length_a 4.621
_cell_length_b 4.621
_cell_length_c 7.345
_cell_angle_alpha 90.00
_cell_angle_beta 90.00
_cell_angle_gamma 90.00
loop_
_symmetry_equiv_pos_as_xyz
'x,y,z'
'-x,-y,-z'
'-y+1/2,x,z'
'y+1/2,-x,-z'
'-x+1/2,-y+1/2,z'
'x+1/2,y+1/2,-z'
'y,-x+1/2,z'
'-y,x+1/2,-z'
'x+1/2,-y,-z'
'-x+1/2,y,z'
'-y,-x,-z'
'y,x,z'
'-x,y+1/2,-z'
'x,-y+1/2,z'
'y+1/2,x+1/2,-z'
'-y+1/2,-x+1/2,z'
loop_
_atom_site_label
_atom_site_fract_x
_atom_site_fract_y
_atom_site_fract_z
K1 0.250 0.250 0.162
Li1 0.250 0.750 0.500
As1 0.250 0.250 0.676
```

---

2.
# K2LiAs

Crystalline K2LiAs at its relaxed geometry (PBE, the Alexandria database).

Summary:
The spin magnetization comes out at 0.00 μB/cell. The formation energy comes out at -0.1921 eV per atom.

CIF file:
```
data_K2LiAs
_symmetry_space_group_name_H-M 'C m m 2'
_symmetry_Int_Tables_number 35
_cell_length_a 5.353
_cell_length_b 5.383
_cell_length_c 9.821
_cell_angle_alpha 90.00
_cell_angle_beta 90.00
_cell_angle_gamma 90.00
loop_
_symmetry_equiv_pos_as_xyz
'x,y,z'
'-x,-y,z'
'-x,y,z'
'x,-y,z'
'x+1/2,y+1/2,z'
'-x+1/2,-y+1/2,z'
'-x+1/2,y+1/2,z'
'x+1/2,-y+1/2,z'
loop_
_atom_site_label
_atom_site_fract_x
_atom_site_fract_y
_atom_site_fract_z
K1 0.000 0.000 0.000
K2 0.000 0.500 0.422
Li1 0.000 0.500 0.722
As1 0.000 0.000 0.661
```